Record 1
A plane-wave DFT calculation with meta-GGA SCAN was carried out for a PBEsol-optimized structure of BaMg2In.

Lattice parameters (Å, degrees): 3.7542 3.7542 8.4590 90.00 90.00 90.00
Sites, in units of the cell vectors:
Ba (0.0000, 0.0000, 0.0000)
Mg (0.5000, 0.5000, 0.3072)
Mg (0.5000, 0.5000, 0.6928)
In (0.0000, 0.0000, 0.5000)

## Properties
DFT total energy = -1.5321 Ry/atom
volume = 29.81 A^3/atom
energy of formation from the pure elements = -0.125 eV per atom
SG = P4/mmm, No. 123

---

Record 2
A plane-wave DFT calculation with meta-GGA SCAN was carried out for a PBEsol-optimized structure of BaLi2Co.

Lattice parameters (Å, degrees): 5.0605 5.0605 5.0605 121.98 121.98 86.61
Sites, in units of the cell vectors:
Ba (0.0000, 0.0000, 0.0000)
Li (0.2500, 0.7500, 0.5000)
Li (0.5000, 0.5000, 0.0000)
Co (0.7500, 0.2500, 0.5000)

## Properties
ΔE to the lowest computed polymorph = 0.48 eV/f.u.
DFT total energy = -1.0971 Ry/atom
volume = 22.18 A^3/atom
energy of formation from the pure elements = 0.481 eV per atom
SG = I-4m2, No. 119

---

Record 3
A plane-wave DFT calculation with meta-GGA SCAN was carried out for a PBEsol-optimized structure of NaMoAsBr2.

Lattice parameters (Å, degrees): 5.3029 5.3029 4.7915 90.00 90.00 90.00
Sites, in units of the cell vectors:
Na (0.0000, 0.0000, 0.0000)
Mo (0.5000, 0.5000, 0.5000)
As (0.5000, 0.5000, 0.0000)
Br (0.0000, 0.5000, 0.5000)
Br (0.5000, 0.0000, 0.5000)

## Properties
ΔE_f (raw) = -0.305 eV per atom
DFT total energy = -1.4661 Ry/atom
volume = 26.95 A^3/atom
SG = P4/mmm, No. 123

---

Record 4
A plane-wave DFT calculation with meta-GGA SCAN was carried out for a PBEsol-optimized structure of Sr2NdSbO6.

Lattice parameters (Å, degrees): 5.9922 5.9922 5.9922 60.00 60.00 60.00
Sites, in units of the cell vectors:
Sr (0.2500, 0.2500, 0.2500)
Sr (0.7500, 0.7500, 0.7500)
Nd (0.0000, 0.0000, 0.0000)
Sb (0.5000, 0.5000, 0.5000)
O (0.2667, 0.2667, 0.7333)
O (0.2667, 0.7333, 0.2667)
O (0.2667, 0.7333, 0.7333)
O (0.7333, 0.2667, 0.2667)
O (0.7333, 0.2667, 0.7333)
O (0.7333, 0.7333, 0.2667)

## Properties
ΔE_f (raw) = -2.792 eV per atom
DFT total energy = -1.4016 Ry/atom
volume = 15.21 A^3/atom
SG = Fm-3m, No. 225

---

Record 5
A plane-wave DFT calculation with meta-GGA SCAN was carried out for a PBEsol-optimized structure of NbF4.

Lattice parameters (Å, degrees): 4.9644 4.9644 4.9644 131.35 131.35 71.26
Sites, in units of the cell vectors:
Nb (0.0000, 0.0000, 0.0000)
F (0.0000, 0.5000, 0.5000)
F (0.2360, 0.2360, 0.0000)
F (0.5000, 0.0000, 0.5000)
F (0.7640, 0.7640, 0.0000)

## Properties
ΔE_f (raw) = -3.024 eV per atom
DFT total energy = -0.9174 Ry/atom
volume = 13.50 A^3/atom
SG = I4/mmm, No. 139

---

Record 6
A plane-wave DFT calculation with meta-GGA SCAN was carried out for a PBEsol-optimized structure of Sc2HgPt.

Lattice parameters (Å, degrees): 3.2627 4.7401 4.8674 90.00 90.00 90.00
Sites, in units of the cell vectors:
Sc (0.0000, 0.0000, 0.0000)
Sc (0.0000, 0.5000, 0.4564)
Hg (0.5000, 0.0000, 0.5173)
Pt (0.5000, 0.5000, 0.9332)

## Properties
DFT total energy = -3.1407 Ry/atom
volume = 18.82 A^3/atom
energy of formation from the pure elements = -1.024 eV per atom
SG = Pmm2, No. 25

---

Record 7
A plane-wave DFT calculation with meta-GGA SCAN was carried out for a PBEsol-optimized structure of ScP2CCl.

Lattice parameters (Å, degrees): 4.9831 4.9831 4.7133 90.00 90.00 90.00
Sites, in units of the cell vectors:
Sc (0.0000, 0.0000, 0.0000)
P (0.0000, 0.5000, 0.0000)
P (0.5000, 0.0000, 0.0000)
C (0.5000, 0.5000, 0.5000)
Cl (0.0000, 0.0000, 0.5000)

## Properties
ΔE_f (raw) = 1.267 eV per atom
DFT total energy = -0.6876 Ry/atom
volume = 23.41 A^3/atom
SG = P4/mmm, No. 123

---

Record 8
A plane-wave DFT calculation with meta-GGA SCAN was carried out for a PBEsol-optimized structure of YScNO2.

Lattice parameters (Å, degrees): 3.9658 3.9658 4.0436 90.00 90.00 90.00
Sites, in units of the cell vectors:
Y (0.0000, 0.0000, 0.0000)
Sc (0.5000, 0.5000, 0.5000)
N (0.5000, 0.5000, 0.0000)
O (0.0000, 0.5000, 0.5000)
O (0.5000, 0.0000, 0.5000)

## Properties
ΔE_f (raw) = -2.339 eV per atom
DFT total energy = -1.1103 Ry/atom
volume = 12.72 A^3/atom
SG = P4/mmm, No. 123

---

no.,magnetization (μB per formula unit)
1,0.00
2,1.32
3,1.97
4,0.00
5,1.00
6,0.00
7,0.10
8,0.99